Here is Cd2BAsP after structural relaxation from the Alexandria database. Energies are from PBE-GGA.

The space group is P4/mmm (No. 123) and the conventional cell measures 5.042, 5.042 and 4.762 Å, with angles of 90.00, 90.00 and 90.00 degrees. The distinct sites, in fractional coordinates, are Cd at (0.000, 0.500, 0.000), B at (0.000, 0.000, 0.500), As at (0.500, 0.500, 0.500) and P at (0.500, 0.500, 0.000).

The density comes out at 4.68 g/cm³. The calculation puts the energy relative to the elements at 1.3045 eV/atom. The calculation puts the total energy at -12.0 eV/cell. The crystal system is tetragonal.